[1]
DFT (PBE-GGA) results for crystalline ThAg6 at its relaxed geometry.

Results
Size of the total moment: 0.3 μB per cell
ΔE_f: 0.736 eV/atom
Space group: No. 229
ΔE to the lowest computed polymorph: 17.70 kcal/mol of atoms
Energy: -19.4 eV for the cell shown

The structure in extended XYZ format:
```
7
Lattice="-3.637 3.637 3.637 3.637 -3.637 3.637 3.637 3.637 -3.637" Properties=species:S:1:pos:R:3 pbc="T T T"
Th 0.000 0.000 0.000
Ag 3.637 1.818 0.000
Ag 3.637 0.000 1.818
Ag 1.818 3.637 0.000
Ag 1.818 0.000 3.637
Ag 0.000 3.637 1.818
Ag 0.000 1.818 3.637
```

---

[2]
DFT (PBE-GGA) results for crystalline Th5Ag at its relaxed geometry.

Results
Size of the total moment: 0.0 μB per cell
ΔE_f: 0.040 eV/atom
Space group: No. 65
Energy: -39.7 eV for the cell shown

The structure in extended XYZ format:
```
6
Lattice="2.941 -8.621 0.000 2.941 8.621 0.000 0.000 0.000 3.583" Properties=species:S:1:pos:R:3 pbc="T T T"
Th 0.000 0.000 0.000
Th 2.941 5.604 1.792
Th 2.941 2.593 0.000
Th 2.941 -2.593 0.000
Th 2.941 -5.604 1.792
Ag 2.941 0.000 1.792
```

---

[3]
DFT (PBE-GGA) results for crystalline ThTiAg at its relaxed geometry.

Results
Size of the total moment: 0.0 μB per cell
ΔE_f: 0.051 eV/atom
Space group: No. 11
ΔE to the lowest computed polymorph: 0.00 kcal/mol of atoms
Energy: -36.0 eV for the cell shown

The structure in extended XYZ format:
```
6
Lattice="3.333 0.000 0.000 0.000 4.847 0.000 -0.010 0.000 8.678" Properties=species:S:1:pos:R:3 pbc="T T T"
Th -0.001 1.212 2.211
Th 3.323 3.635 6.467
Ti 1.658 1.212 8.148
Ti 1.665 3.635 0.530
Ag 1.660 1.212 5.127
Ag 1.663 3.635 3.551
```

---

> Among the records above, which one has the lowest energy?

Th5Ag